# 1
# RbSn6Bi2 | the Alexandria database | GGA-PBE | relaxed
# ΔE_f: -21.3 meV per atom
# Fermi-level density of states: 0.730 states/eV per atom
# theoretical density: 6.5 g cm⁻³
# VASP energy: -32.938 eV for the cell shown
data_RbSn6Bi2
_chemical_formula_sum 'Rb1 Sn6 Bi2'
_symmetry_space_group_name_H-M 'P 4/m m m'
_symmetry_Int_Tables_number 123
_symmetry_space_group_name_Hall '-P 4 2'
_cell_length_a 5.5631
_cell_length_b 5.5631
_cell_length_c 10.0975
_cell_angle_alpha 90.00
_cell_angle_beta 90.00
_cell_angle_gamma 90.00
loop_
_atom_site_label
_atom_site_fract_x
_atom_site_fract_y
_atom_site_fract_z
Rb1 0.0000 0.0000 0.0000
Sn1 0.0000 0.0000 0.5000
Sn2 0.0000 0.5000 0.3328
Sn3 0.5000 0.5000 0.5000
Bi1 0.5000 0.5000 0.1633

---

# 2
# LiHo3Pt4 | the Alexandria database | GGA-PBE | relaxed
# ΔE_f: -1099.6 meV per atom
# Fermi-level density of states: 0.461 states/eV per atom
# theoretical density: 13.6 g cm⁻³
# VASP energy: -97.215 eV for the cell shown
data_LiHo3Pt4
_chemical_formula_sum 'Li2 Ho6 Pt8'
_symmetry_space_group_name_H-M 'C 1 2/m 1'
_symmetry_Int_Tables_number 12
_cell_length_a 14.2045
_cell_length_b 4.8440
_cell_length_c 4.8441
_cell_angle_alpha 90.00
_cell_angle_beta 109.80
_cell_angle_gamma 90.00
loop_
_symmetry_equiv_pos_as_xyz
'x,y,z'
'-x,-y,-z'
'-x,y,-z'
'x,-y,z'
'x+1/2,y+1/2,z'
'-x+1/2,-y+1/2,-z'
'-x+1/2,y+1/2,-z'
'x+1/2,-y+1/2,z'
loop_
_atom_site_label
_atom_site_fract_x
_atom_site_fract_y
_atom_site_fract_z
Li1 0.0000 0.0000 0.0000
Ho1 0.0000 0.5000 0.5000
Ho2 0.2413 0.0000 0.2416
Pt1 0.1227 0.0000 0.6237
Pt2 0.1227 0.5000 0.1223

---

# 3
# CaInH6Pt2 | the Alexandria database | GGA-PBE | relaxed
# Fermi-level density of states: 0.141 states/eV per atom
# theoretical density: 8.2 g cm⁻³
# VASP energy: -158.491 eV for the cell shown
data_CaInH6Pt2
_chemical_formula_sum 'Ca4 In4 H24 Pt8'
_symmetry_space_group_name_H-M 'C 1 2/c 1'
_symmetry_Int_Tables_number 15
_cell_length_a 7.5801
_cell_length_b 9.9120
_cell_length_c 6.3617
_cell_angle_alpha 90.00
_cell_angle_beta 110.60
_cell_angle_gamma 90.00
loop_
_symmetry_equiv_pos_as_xyz
'x,y,z'
'-x,-y,-z'
'-x,y,-z+1/2'
'x,-y,z+1/2'
'x+1/2,y+1/2,z'
'-x+1/2,-y+1/2,-z'
'-x+1/2,y+1/2,-z+1/2'
'x+1/2,-y+1/2,z+1/2'
loop_
_atom_site_label
_atom_site_fract_x
_atom_site_fract_y
_atom_site_fract_z
Ca1 0.0000 0.1574 0.2500
In1 0.0000 0.3696 0.7500
H1 0.0849 0.4246 0.1450
H2 0.1696 0.0178 0.0083
H3 0.2134 0.2259 0.6157
Pt1 0.1961 0.1226 0.8173

---

# 4
# NaCa6Hg5 | the Alexandria database | GGA-PBE | relaxed
# ΔE_f: -452.4 meV per atom
# Fermi-level density of states: 0.798 states/eV per atom
# theoretical density: 6.2 g cm⁻³
# VASP energy: -40.532 eV for the cell shown
data_NaCa6Hg5
_chemical_formula_sum 'Na2 Ca12 Hg10'
_symmetry_space_group_name_H-M 'I m m m'
_symmetry_Int_Tables_number 71
_symmetry_space_group_name_Hall '-I 2 2'
_cell_length_a 5.4185
_cell_length_b 7.6931
_cell_length_c 16.2539
_cell_angle_alpha 90.00
_cell_angle_beta 90.00
_cell_angle_gamma 90.00
loop_
_atom_site_label
_atom_site_fract_x
_atom_site_fract_y
_atom_site_fract_z
Na1 0.0000 0.0000 0.0000
Ca1 0.0000 0.2318 0.5000
Ca2 0.0000 0.2593 0.1730
Hg1 0.0000 0.0000 0.3316
Hg2 0.0000 0.5000 0.0000
Hg3 0.0000 0.5000 0.3455

---

# 5
# LaTbDyAg | the Alexandria database | GGA-PBE | relaxed
# ΔE_f: -124.8 meV per atom
# Fermi-level density of states: 1.461 states/eV per atom
# theoretical density: 8.0 g cm⁻³
# VASP energy: -17.510 eV for the cell shown
data_LaTbDyAg
_chemical_formula_sum 'La1 Tb1 Dy1 Ag1'
_symmetry_space_group_name_H-M 'P 4 m m'
_symmetry_Int_Tables_number 99
_cell_length_a 3.6690
_cell_length_b 3.6690
_cell_length_c 8.7087
_cell_angle_alpha 90.00
_cell_angle_beta 90.00
_cell_angle_gamma 90.00
loop_
_symmetry_equiv_pos_as_xyz
'x,y,z'
'-y,x,z'
'-x,-y,z'
'y,-x,z'
'-x,y,z'
'y,x,z'
'x,-y,z'
'-y,-x,z'
loop_
_atom_site_label
_atom_site_fract_x
_atom_site_fract_y
_atom_site_fract_z
La1 0.0000 0.0000 0.0000
Tb1 0.5000 0.5000 0.7045
Dy1 0.5000 0.5000 0.2947
Ag1 0.0000 0.0000 0.4974

---

# 6
# KSiSe3 | the Alexandria database | GGA-PBE | relaxed
# Fermi-level density of states: 0.139 states/eV per atom
# theoretical density: 3.6 g cm⁻³
# VASP energy: -78.461 eV for the cell shown
data_KSiSe3
_chemical_formula_sum 'K4 Si4 Se12'
_symmetry_space_group_name_H-M 'C 1 2/m 1'
_symmetry_Int_Tables_number 12
_cell_length_a 15.2095
_cell_length_b 5.7852
_cell_length_c 6.4762
_cell_angle_alpha 90.00
_cell_angle_beta 100.64
_cell_angle_gamma 90.00
loop_
_symmetry_equiv_pos_as_xyz
'x,y,z'
'-x,-y,-z'
'-x,y,-z'
'x,-y,z'
'x+1/2,y+1/2,z'
'-x+1/2,-y+1/2,-z'
'-x+1/2,y+1/2,-z'
'x+1/2,-y+1/2,z'
loop_
_atom_site_label
_atom_site_fract_x
_atom_site_fract_y
_atom_site_fract_z
K1 0.2111 0.0000 0.2406
Si1 0.0000 0.5000 0.0000
Si2 0.0000 0.5000 0.5000
Se1 0.0833 0.2455 0.7878
Se2 0.1237 0.5000 0.3078

---

# 7
# Li2Ag10Bi | the Alexandria database | GGA-PBE | relaxed
# ΔE_f: 9.4 meV per atom
# Fermi-level density of states: 0.257 states/eV per atom
# theoretical density: 8.9 g cm⁻³
# VASP energy: -144.398 eV for the cell shown
data_Li2Ag10Bi
_chemical_formula_sum 'Li8 Ag40 Bi4'
_symmetry_space_group_name_H-M 'F m m m'
_symmetry_Int_Tables_number 69
_symmetry_space_group_name_Hall '-F 2 2'
_cell_length_a 5.3490
_cell_length_b 13.0314
_cell_length_c 13.9475
_cell_angle_alpha 90.00
_cell_angle_beta 90.00
_cell_angle_gamma 90.00
loop_
_atom_site_label
_atom_site_fract_x
_atom_site_fract_y
_atom_site_fract_z
Li1 0.2500 0.2500 0.0000
Ag1 0.0000 0.1111 0.1033
Ag2 0.0000 0.1809 0.3292
Ag3 0.2500 0.0000 0.2500
Bi1 0.0000 0.0000 0.5000

---

# 8
# Ba2UCuS6 | the Alexandria database | GGA-PBE | relaxed
# Fermi-level density of states: 0.453 states/eV per atom
# theoretical density: 5.1 g cm⁻³
# VASP energy: -56.763 eV for the cell shown
data_Ba2UCuS6
_chemical_formula_sum 'Ba2 U1 Cu1 S6'
_symmetry_space_group_name_H-M 'P 4/m m m'
_symmetry_Int_Tables_number 123
_symmetry_space_group_name_Hall '-P 4 2'
_cell_length_a 5.0837
_cell_length_b 5.0837
_cell_length_c 9.7121
_cell_angle_alpha 90.00
_cell_angle_beta 90.00
_cell_angle_gamma 90.00
loop_
_atom_site_label
_atom_site_fract_x
_atom_site_fract_y
_atom_site_fract_z
Ba1 0.0000 0.0000 0.2086
U1 0.5000 0.5000 0.5000
Cu1 0.5000 0.5000 0.0000
S1 0.0000 0.5000 0.0000
S2 0.0000 0.5000 0.5000
S3 0.5000 0.5000 0.2465

---

# 9
# Ca2ScTe4 | the Alexandria database | GGA-PBE | relaxed
# Fermi-level density of states: 0.699 states/eV per atom
# theoretical density: 4.3 g cm⁻³
# VASP energy: -60.655 eV for the cell shown
data_Ca2ScTe4
_chemical_formula_sum 'Ca4 Sc2 Te8'
_symmetry_space_group_name_H-M 'I 4/m m m'
_symmetry_Int_Tables_number 139
_symmetry_space_group_name_Hall '-I 4 2'
_cell_length_a 5.5932
_cell_length_b 5.5932
_cell_length_c 15.6072
_cell_angle_alpha 90.00
_cell_angle_beta 90.00
_cell_angle_gamma 90.00
loop_
_atom_site_label
_atom_site_fract_x
_atom_site_fract_y
_atom_site_fract_z
Ca1 0.0000 0.0000 0.1243
Sc1 0.0000 0.0000 0.5000
Te1 0.0000 0.0000 0.3157
Te2 0.0000 0.5000 0.0000

---

# 10
# Dy2Be3AlIr4 | the Alexandria database | GGA-PBE | relaxed
# ΔE_f: -722.8 meV per atom
# Fermi-level density of states: 0.295 states/eV per atom
# theoretical density: 12.1 g cm⁻³
# VASP energy: -66.798 eV for the cell shown
data_Dy2Be3AlIr4
_chemical_formula_sum 'Dy2 Be3 Al1 Ir4'
_symmetry_space_group_name_H-M 'P -4 m 2'
_symmetry_Int_Tables_number 115
_cell_length_a 4.0594
_cell_length_b 4.0594
_cell_length_c 9.5327
_cell_angle_alpha 90.00
_cell_angle_beta 90.00
_cell_angle_gamma 90.00
loop_
_symmetry_equiv_pos_as_xyz
'x,y,z'
'y,-x,-z'
'-x,-y,z'
'-y,x,-z'
'-x,y,z'
'-y,-x,-z'
'x,-y,z'
'y,x,-z'
loop_
_atom_site_label
_atom_site_fract_x
_atom_site_fract_y
_atom_site_fract_z
Dy1 0.0000 0.5000 0.2319
Be1 0.0000 0.5000 0.8881
Be2 0.5000 0.5000 0.5000
Al1 0.0000 0.0000 0.5000
Ir1 0.0000 0.0000 0.0000
Ir2 0.0000 0.5000 0.6425
Ir3 0.5000 0.5000 0.0000

---

# 11
# LaZnW2 | the Alexandria database | GGA-PBE | relaxed
# ΔE_f: 835.3 meV per atom
# Fermi-level density of states: 1.198 states/eV per atom
# theoretical density: 12.0 g cm⁻³
# VASP energy: -28.766 eV for the cell shown
data_LaZnW2
_chemical_formula_sum 'La1 Zn1 W2'
_symmetry_space_group_name_H-M 'P 4/m m m'
_symmetry_Int_Tables_number 123
_symmetry_space_group_name_Hall '-P 4 2'
_cell_length_a 4.0698
_cell_length_b 4.0698
_cell_length_c 4.7919
_cell_angle_alpha 90.00
_cell_angle_beta 90.00
_cell_angle_gamma 90.00
loop_
_atom_site_label
_atom_site_fract_x
_atom_site_fract_y
_atom_site_fract_z
La1 0.0000 0.0000 0.0000
Zn1 0.5000 0.5000 0.0000
W1 0.0000 0.5000 0.5000

---

# 12
# NiTeAs2 | the Alexandria database | GGA-PBE | relaxed
# Fermi-level density of states: 0.431 states/eV per atom
# theoretical density: 7.2 g cm⁻³
# VASP energy: -36.713 eV for the cell shown
data_NiTeAs2
_chemical_formula_sum 'Ni2 Te2 As4'
_symmetry_space_group_name_H-M 'C m m m'
_symmetry_Int_Tables_number 65
_symmetry_space_group_name_Hall '-C 2 2'
_cell_length_a 5.0738
_cell_length_b 8.4107
_cell_length_c 3.6163
_cell_angle_alpha 90.00
_cell_angle_beta 90.00
_cell_angle_gamma 90.00
loop_
_atom_site_label
_atom_site_fract_x
_atom_site_fract_y
_atom_site_fract_z
Ni1 0.0000 0.0000 0.0000
Te1 0.0000 0.5000 0.0000
As1 0.0000 0.1931 0.5000